(1)
The following is a PBE-GGA calculation of crystalline SrAl3PdPt at its relaxed geometry, from Alexandria.

Results
Its space group is Cmcm. The formation energy comes out at -0.590 eV/atom. As for the total magnetization: 0.000 μB/f.u. The calculation puts the density of states at the Fermi level at 5.7 states/eV/cell.

Unit cell a=6.897 b=6.897 c=6.907 alpha=90.00 beta=90.00 gamma=124.83
Element x y z (fractional)
Sr 0.246 0.754 0.750
Sr 0.754 0.246 0.250
Al 0.207 0.793 0.250
Al 0.283 0.283 0.000
Al 0.283 0.283 0.500
Al 0.717 0.717 0.000
Al 0.717 0.717 0.500
Al 0.793 0.207 0.750
Pd 0.398 0.602 0.250
Pd 0.602 0.398 0.750
Pt 0.018 0.982 0.250
Pt 0.982 0.018 0.750

(2)
The following is a PBE-GGA calculation of crystalline Sr2Al3PdPt4 at its relaxed geometry, from Alexandria.

Results
Its space group is P-4m2. The formation energy comes out at -0.892 eV/atom. As for the total magnetization: 0.000 μB/f.u. The calculation puts the density of states at the Fermi level at 4.5 states/eV/cell.

Unit cell a=4.323 b=4.323 c=10.715 alpha=90.00 beta=90.00 gamma=90.00
Element x y z (fractional)
Sr 0.000 0.500 0.247
Sr 0.500 0.000 0.753
Al 0.000 0.000 0.000
Al 0.000 0.500 0.621
Al 0.500 0.000 0.379
Pd 0.500 0.500 0.000
Pt 0.000 0.000 0.500
Pt 0.000 0.500 0.851
Pt 0.500 0.000 0.149
Pt 0.500 0.500 0.500

(3)
The following is a PBE-GGA calculation of crystalline TbAl4PdPt2 at its relaxed geometry, from Alexandria.

Results
Its space group is R-3m. The formation energy comes out at -0.883 eV/atom. As for the total magnetization: 0.000 μB/f.u. The calculation puts the density of states at the Fermi level at 4.2 states/eV/cell.

Unit cell a=9.081 b=9.081 c=9.081 alpha=27.26 beta=27.26 gamma=27.26
Element x y z (fractional)
Tb 0.000 0.000 0.000
Al 0.133 0.133 0.133
Al 0.402 0.402 0.402
Al 0.598 0.598 0.598
Al 0.867 0.867 0.867
Pd 0.500 0.500 0.500
Pt 0.240 0.240 0.240
Pt 0.760 0.760 0.760

(4)
The following is a PBE-GGA calculation of crystalline Tb2Al2PdPt5 at its relaxed geometry, from Alexandria.

Results
Its space group is P4/mbm. The formation energy comes out at -0.930 eV/atom. As for the total magnetization: 0.000 μB/f.u. The calculation puts the density of states at the Fermi level at 6.9 states/eV/cell.

Unit cell a=9.699 b=9.699 c=3.748 alpha=90.00 beta=90.00 gamma=90.00
Element x y z (fractional)
Tb 0.179 0.321 0.000
Tb 0.321 0.821 0.000
Tb 0.679 0.179 0.000
Tb 0.821 0.679 0.000
Al 0.121 0.621 0.000
Al 0.379 0.121 0.000
Al 0.621 0.879 0.000
Al 0.879 0.379 0.000
Pd 0.000 0.000 0.000
Pd 0.500 0.500 0.000
Pt 0.000 0.500 0.500
Pt 0.065 0.794 0.500
Pt 0.206 0.065 0.500
Pt 0.294 0.565 0.500
Pt 0.435 0.294 0.500
Pt 0.500 0.000 0.500
Pt 0.565 0.706 0.500
Pt 0.706 0.435 0.500
Pt 0.794 0.935 0.500
Pt 0.935 0.206 0.500

(5)
The following is a PBE-GGA calculation of crystalline TbAlPdPt at its relaxed geometry, from Alexandria.

Results
Its space group is F-43m. The formation energy comes out at -0.935 eV/atom. As for the total magnetization: 0.000 μB/f.u. The calculation puts the density of states at the Fermi level at 3.0 states/eV/cell.

Unit cell a=4.693 b=4.693 c=4.693 alpha=60.00 beta=60.00 gamma=60.00
Element x y z (fractional)
Tb 0.000 0.000 0.000
Al 0.500 0.500 0.500
Pd 0.250 0.250 0.250
Pt 0.750 0.750 0.750

(6)
The following is a PBE-GGA calculation of crystalline Al2TePdPt at its relaxed geometry, from Alexandria.

Results
The formation energy from raw total energies is 996 meV/atom. Its space group is P4/mmm. As for the total magnetization: 0.000 μB/f.u. The calculation puts the density of states at the Fermi level at 2.9 states/eV/cell.

Unit cell a=5.212 b=5.212 c=4.916 alpha=90.00 beta=90.00 gamma=90.00
Element x y z (fractional)
Al 0.000 0.500 0.000
Al 0.500 0.000 0.000
Te 0.000 0.000 0.000
Pd 0.500 0.500 0.500
Pt 0.000 0.000 0.500